Entry 1:
This record from Alexandria via LeMat-Bulk describes a geometry-optimized LiErPaPt structure. The functional is PBE.

Geometry as CIF:
```
data_LiErPaPt
_symmetry_space_group_name_H-M 'F -4 3 m'
_symmetry_Int_Tables_number 216
_symmetry_space_group_name_Hall 'F -4 2 3'
_cell_length_a 7.016
_cell_length_b 7.016
_cell_length_c 7.016
_cell_angle_alpha 90.00
_cell_angle_beta 90.00
_cell_angle_gamma 90.00
loop_
_atom_site_label
_atom_site_type_symbol
_atom_site_fract_x
_atom_site_fract_y
_atom_site_fract_z
Li1 Li 0.000 0.000 0.000
Er1 Er 0.250 0.250 0.250
Pa1 Pa 0.250 0.250 0.750
Pt1 Pt 0.000 0.000 0.500
```

The calculation puts the density of states at the Fermi level at 27.74 states/eV/cell. As for the volume: 21.581 A^3/atom. The value obtained for the magnetization is 1.00 μB per formula unit. For the energy, the calculation gives -92.98 eV/cell. The calculation puts the formation energy at -0.3076 eV per atom.

---

Entry 2:
This record from Alexandria via LeMat-Bulk describes a geometry-optimized LiBi4Pd structure. The functional is PBE.

Geometry as CIF:
```
data_LiBi4Pd
_symmetry_space_group_name_H-M 'I 4/m c m'
_symmetry_Int_Tables_number 140
_symmetry_space_group_name_Hall '-I 4 2c'
_cell_length_a 6.902
_cell_length_b 6.902
_cell_length_c 13.046
_cell_angle_alpha 90.00
_cell_angle_beta 90.00
_cell_angle_gamma 90.00
loop_
_atom_site_label
_atom_site_type_symbol
_atom_site_fract_x
_atom_site_fract_y
_atom_site_fract_z
Li1 Li 0.000 0.000 0.000
Bi1 Bi 0.165 0.335 0.131
Pd1 Pd 0.000 0.000 0.250
```

The calculation puts the density of states at the Fermi level at 15.17 states/eV/cell. As for the volume: 25.898 A^3/atom. The value obtained for the magnetization is 0.00 μB per formula unit. For the energy, the calculation gives -95.59 eV/cell. The calculation puts the formation energy at -0.2113 eV per atom.

---

Entry 3:
This record from Alexandria via LeMat-Bulk describes a geometry-optimized K2ErZn2S4 structure. The functional is PBE.

Geometry as CIF:
```
data_K2ErZn2S4
_symmetry_space_group_name_H-M 'C 1 2/m 1'
_symmetry_Int_Tables_number 12
_cell_length_a 15.636
_cell_length_b 3.856
_cell_length_c 7.881
_cell_angle_alpha 90.00
_cell_angle_beta 113.66
_cell_angle_gamma 90.00
loop_
_symmetry_equiv_pos_as_xyz
'x,y,z'
'-x,-y,-z'
'-x,y,-z'
'x,-y,z'
'x+1/2,y+1/2,z'
'-x+1/2,-y+1/2,-z'
'-x+1/2,y+1/2,-z'
'x+1/2,-y+1/2,z'
loop_
_atom_site_label
_atom_site_type_symbol
_atom_site_fract_x
_atom_site_fract_y
_atom_site_fract_z
K1 K 0.127 0.000 0.059
Er1 Er 0.000 0.000 0.500
Zn1 Zn 0.185 0.500 0.524
S1 S 0.032 0.500 0.286
S2 S 0.188 0.000 0.714
```

The calculation puts the density of states at the Fermi level at 7.75 states/eV/cell. As for the volume: 24.181 A^3/atom. The value obtained for the magnetization is 0.01 μB per formula unit. For the energy, the calculation gives -72.62 eV/cell. The value obtained for the uncorrected formation energy is -1.166 eV/atom.

---

Entry 4:
This record from Alexandria via LeMat-Bulk describes a geometry-optimized SrFePb2 structure. The functional is PBE.

Geometry as CIF:
```
data_SrFePb2
_symmetry_space_group_name_H-M 'F -4 3 m'
_symmetry_Int_Tables_number 216
_symmetry_space_group_name_Hall 'F -4 2 3'
_cell_length_a 7.688
_cell_length_b 7.688
_cell_length_c 7.688
_cell_angle_alpha 90.00
_cell_angle_beta 90.00
_cell_angle_gamma 90.00
loop_
_atom_site_label
_atom_site_type_symbol
_atom_site_fract_x
_atom_site_fract_y
_atom_site_fract_z
Sr1 Sr 0.000 0.000 0.000
Fe1 Fe 0.250 0.250 0.750
Pb1 Pb 0.000 0.000 0.500
Pb2 Pb 0.250 0.250 0.250
```

The calculation puts the density of states at the Fermi level at 33.48 states/eV/cell. As for the volume: 28.405 A^3/atom. The value obtained for the magnetization is 2.82 μB per formula unit. For the energy, the calculation gives -64.47 eV/cell. The calculation puts the formation energy at 0.3607 eV per atom.